ScMnPb3 | GGA-PBE | optimized geometry

Cell lengths 5.232, 5.232, 5.232 Å; angles 90.00, 90.00, 90.00 degrees
Fractional positions:
Sc (0.000, 0.000, 0.000)
Mn (0.500, 0.500, 0.500)
Pb (0.000, 0.500, 0.500)
Pb (0.500, 0.000, 0.500)
Pb (0.500, 0.500, 0.000)

Results
- excess energy over the best structure of this formula in the dataset (eV/atom) = 0.000
- space-group type = No. 221
- E_form (eV/atom) = 0.40
- size of the total moment (μB/f.u.) = 3.564
- N(E_F) (states/eV/cell) = 4.74
- ρ (g/cm³) = 8.4

=====

ScMn2Pb | GGA-PBE | optimized geometry

Cell lengths 4.478, 5.709, 5.709 Å; angles 31.72, 90.00, 90.00 degrees
Fractional positions:
Sc (0.000, 0.000, 0.000)
Mn (0.000, 0.718, 0.718)
Mn (0.500, 0.599, 0.599)
Pb (0.500, 0.332, 0.332)

Results
- space-group type = No. 38
- E_form (eV/atom) = 0.24
- size of the total moment (μB/f.u.) = 6.222
- N(E_F) (states/eV/cell) = 2.84
- ρ (g/cm³) = 7.8